No. 1
The following is a DFT calculation (PBE) of a relaxed Y2Al2Co15 crystal.

Summary:
Total DFT energy (no corrections)   -6.74 eV/atom
Total magnetization   0.0017 μB/atom
Volume   12.79 Å³ per atom

Cell: 8.2761 8.2761 8.1938 Å, 90.00 90.00 120.00°
Last column: nearest neighbours and their distance in Å.
Space group P6_3/mmc (No. 194)
Inequivalent atoms, fractional coordinates:
Y 0.0000 0.0000 0.2500 x2  18 Co 2.94-3.26
Y 0.3333 0.6667 0.2500 x2  2 Al 2.84, 18 Co 3.00-3.15
Al 0.3333 0.6667 0.5968 x4  1 Al 2.51, 12 Co 2.52-2.69
Co 0.0000 0.5000 0.0000 x6  8 Co 2.41-2.42, 2 Al 2.52
Co 0.0487 0.3765 0.7500 x12  8 Co 2.31-2.56
Co 0.1638 0.3276 0.0260 x12  8 Co 2.39-2.56, 1 Al 2.63

***

No. 2
The following is a DFT calculation (PBE) of a relaxed Y6AlCo2 crystal.

Summary:
Total DFT energy (no corrections)   -6.55 eV/atom
Total magnetization   0.0003 μB/atom
Volume   24.77 Å³ per atom

Cell: 9.3840 9.5324 9.9700 Å, 90.00 90.00 90.00°
Last column: nearest neighbours and their distance in Å.
Space group Immm (No. 71)
Inequivalent atoms, fractional coordinates:
Y 0.0000 0.2025 0.2336 x8  1 Co 2.83, 1 Al 3.03
Y 0.1962 0.5000 0.1826 x8  3 Co 2.76-2.87
Y 0.2168 0.3150 0.5000 x8  3 Co 2.91-3.19, 1 Al 3.19
Al 0.0000 0.0000 0.0000 x2  8 Y 3.03-3.19
Al 0.0000 0.0000 0.5000 x2  12 Y 3.28-3.63
Co 0.0000 0.3706 0.0000 x4  1 Co 2.47
Co 0.0000 0.5000 0.3883 x4  1 Co 2.23

***

No. 3
The following is a DFT calculation (PBE) of a relaxed Y3Al7Co2 crystal.

Summary:
Total DFT energy (no corrections)   -5.48 eV/atom
Total magnetization   0.0014 μB/atom
Volume   18.20 Å³ per atom

Cell: 5.4582 5.4582 25.4009 Å, 90.00 90.00 120.00°
Last column: nearest neighbours and their distance in Å.
Space group R-3m (No. 166, hexagonal axes)
Inequivalent atoms, fractional coordinates:
Y 0.0000 0.0000 0.0000 x3  6 Co 3.15, 12 Al 3.31
Y 0.0000 0.0000 0.1454 x6  12 Al 3.20-3.29, 3 Y 3.33
Al 0.0000 0.0000 0.5000 x3  6 Al 2.85
Al 0.0044 0.5022 0.9263 x18  2 Co 2.42-2.47, 2 Al 2.69
Co 0.0000 0.0000 0.3352 x6  6 Al 2.42-2.47

***

> Which formula does entry 3 have?

Y3Al7Co2

***

> Among the records above, which one has the highest total magnetization?

Y2Al2Co15

***

> What is the volume in the second record?

24.77 Å³ per atom